[1]
Density functional theory data (PBE-GGA) for a geometry-optimized HfInPO2 structure.

Summary:
Fermi-level density of states	0.90	states/eV/f.u.

The structure in POSCAR format:
```
HfInPO2
1.0
4.012 0.000 0.000
0.000 4.012 0.000
0.000 0.000 5.166
Hf In P O
1 1 1 2
direct
0.000 0.000 0.000 Hf
0.500 0.500 0.500 In
0.500 0.500 0.000 P
0.000 0.500 0.500 O
0.500 0.000 0.500 O
```

[2]
Density functional theory data (PBE-GGA) for a geometry-optimized HfInP2O8 structure.

Summary:
Fermi-level density of states	2.81	states/eV/f.u.

The structure in POSCAR format:
```
HfInP2O8
1.0
4.262 -2.703 0.000
4.262 2.703 0.000
-0.433 0.000 7.420
Hf In P O
1 1 2 8
direct
0.000 0.000 0.000 Hf
0.000 0.000 0.500 In
0.342 0.342 0.770 P
0.658 0.658 0.230 P
0.213 0.683 0.798 O
0.223 0.223 0.920 O
0.264 0.264 0.580 O
0.317 0.787 0.202 O
0.683 0.213 0.798 O
0.736 0.736 0.420 O
0.777 0.777 0.080 O
0.787 0.317 0.202 O
```

[3]
Density functional theory data (PBE-GGA) for a geometry-optimized HfInPO2 structure.

Summary:
Fermi-level density of states	3.13	states/eV/f.u.

The structure in POSCAR format:
```
HfInPO2
1.0
4.016 0.000 0.000
0.000 4.016 0.000
0.000 0.000 5.523
Hf In P O
1 1 1 2
direct
0.000 0.000 0.000 Hf
0.500 0.500 0.500 In
0.000 0.000 0.500 P
0.000 0.500 0.000 O
0.500 0.000 0.000 O
```

Quick rundown of formation energy from raw total energies, same order as above: -0.45; -2.37; -1.62 eV/atom
Quick rundown of electronic total energy, same order as above: -30.29; -91.62; -36.11 eV per cell
Quick rundown of calculated density, same order as above: 7115; 4693; 6640 kg/m³